No. 1
PaIrPt2 | PBE-GGA | optimized geometry

* relative energy among the computed polymorphs: 0.0 meV/atom
* energy of formation: -0.972 eV/atom
* total magnetization: 0.0000 μB per atom

Cell lengths 4.0793, 4.0793, 4.2640 Å; angles 90.00, 90.00, 90.00 degrees
With the nearest neighbours (Å) after each atom.
Space group P4/mmm (No. 123)
One atom of each set of equivalent atoms:
1 Pa 0.0000 0.0000 0.0000 x1  4 Ir 2.88, 8 Pt 2.95
2 Ir 0.5000 0.5000 0.0000 x1  4 Pa 2.88, 8 Pt 2.95
3 Pt 0.0000 0.5000 0.5000 x2  4 Pt 2.88, 4 Pa 2.95, 4 Ir 2.95

---

No. 2
BeCoGeRh | PBE-GGA | optimized geometry

* energy of formation: -0.411 eV/atom
* total magnetization: 0.0001 μB per atom

Cell lengths 5.6926, 5.6926, 5.6926 Å; angles 90.00, 90.00, 90.00 degrees
With the nearest neighbours (Å) after each atom.
Space group F-43m (No. 216)
One atom of each set of equivalent atoms:
1 Be 0.0000 0.0000 0.0000 x4  4 Co 2.46, 4 Rh 2.46
2 Co 0.2500 0.2500 0.2500 x4  4 Ge 2.46, 4 Be 2.46
3 Ge 0.0000 0.0000 0.5000 x4  4 Co 2.46, 4 Rh 2.46
4 Rh 0.2500 0.2500 0.7500 x4  4 Ge 2.46, 4 Be 2.46

---

- Which value of energy of formation does entry 2 give?
  -0.411 eV/atom